Tb3Nd6SmY2, optimized geometry, DFT PBE; symmetry = C2/m, No. 12; DFT formation energy = 0.2 kcal/mol of atoms
1.0
-1.231 -1.340 6.034
5.058 -2.494 -2.814
5.164 10.530 2.297
Nd Y Tb Sm
6 2 3 1
Cartesian
4.170 -0.237 2.994
1.208 1.875 2.857
7.783 4.822 2.660
5.689 5.206 5.607
4.821 6.933 2.522
3.302 1.490 -0.090
2.961 -2.109 0.136
0.866 -1.725 3.083
4.495 3.348 2.758
2.400 3.733 5.707
6.591 2.964 -0.190
0.000 0.000 0.000

=====

SrNiBr2, optimized geometry, DFT PBE; symmetry = Cmmm, No. 65; energy above the lowest structure with this stoichiometry = 0.468 eV per atom; uncorrected formation energy = -0.5279 eV per atom
1.0
4.513 -0.686 0.000
-2.286 3.952 0.000
0.000 0.000 7.789
Br Sr Ni
2 1 1
Cartesian
0.000 0.000 0.342
0.000 0.000 3.552
1.114 1.633 5.841
1.114 1.633 1.947

=====

Be2AsO, optimized geometry, DFT PBE; symmetry = I-42d, No. 122; energy above the lowest structure with this stoichiometry = 0.000 eV per atom; uncorrected formation energy = -1.0197 eV per atom
1.0
4.602 0.000 0.000
0.000 4.602 0.000
2.301 2.301 4.326
As Be O
2 4 2
Cartesian
4.602 2.301 2.163
0.000 0.000 0.000
5.753 5.242 3.244
3.452 3.963 3.244
2.941 1.151 1.081
1.662 3.452 1.081
2.301 2.301 0.000
2.301 4.602 2.163

=====

SiSb, optimized geometry, DFT PBE; symmetry = Cmmm, No. 65; uncorrected formation energy = 0.5942 eV per atom
1.0
-0.082 1.496 2.751
1.327 -2.806 0.419
4.227 1.866 -0.889
Si Sb
1 1
Cartesian
2.736 0.278 1.141
0.000 0.000 0.000

=====

V8Si2H, optimized geometry, DFT PBE; symmetry = C2/m, No. 12; DFT total energy = -89.5 eV per cell
1.0
4.179 0.000 0.000
0.000 5.039 -0.185
-2.089 -2.327 6.516
V Si H
8 2 1
Cartesian
0.000 0.684 5.263
0.000 0.572 2.745
2.089 1.494 6.331
2.089 -0.559 1.620
2.089 2.028 1.068
2.089 2.140 3.585
0.000 3.270 4.710
0.000 1.218 -0.001
0.000 2.964 2.126
2.089 -0.252 4.204
2.089 0.000 0.000

=====

Er2Al5Fe5, optimized geometry, DFT PBE; symmetry = Pmmm, No. 47; DFT formation energy = -7.0 kcal/mol of atoms
1.0
-1.656 3.278 -1.733
-2.511 1.028 4.345
6.974 5.025 2.842
Fe Al Er
5 5 2
Cartesian
3.735 5.654 2.368
1.403 4.666 2.727
2.510 6.156 4.487
-0.929 3.677 3.086
0.296 3.176 0.967
1.292 0.931 0.527
5.682 4.094 2.315
-0.828 1.639 -0.866
1.055 2.179 3.114
3.407 3.874 4.073
3.487 2.513 1.421
-1.256 0.514 2.172

=====

| no. | calculated volume (Å³ per atom) |
| --- | --- |
| 1 | 33.72 |
| 2 | 31.68 |
| 3 | 11.45 |
| 4 | 21.86 |
| 5 | 12.31 |
| 6 | 15.70 |